No. 1
Material: LiCa2MnP
Method: DFT, PBE
State: relaxed

Unit cell a=5.4640 b=5.4640 c=4.1884 alpha=90.00 beta=90.00 gamma=90.00
Space group P4/mmm (No. 123)
One atom of each set of equivalent atoms:
Li (0.0000, 0.0000, 0.0000) (multiplicity 1)
Ca (0.0000, 0.5000, 0.0000) (multiplicity 2)
Mn (0.5000, 0.5000, 0.5000) (multiplicity 1)
P (0.0000, 0.0000, 0.5000) (multiplicity 1)

Fermi-level density of states   5.46 states/eV per cell
Size of the total moment   0.8151 μB per atom
Formation energy from the elements   1.16 eV per formula unit


No. 2
Material: LiCaMn2Se4
Method: DFT, PBE
State: relaxed

Unit cell a=3.9162 b=12.8688 c=13.2361 alpha=90.00 beta=90.00 gamma=90.00
Space group Cmcm (No. 63)
One atom of each set of equivalent atoms:
Li (0.0000, 0.1484, 0.2500) (multiplicity 4)
Ca (0.0000, 0.1247, 0.7500) (multiplicity 4)
Mn (0.0000, 0.3702, 0.5637) (multiplicity 8)
Se (0.0000, 0.0000, 0.0000) (multiplicity 4)
Se (0.0000, 0.2687, 0.1080) (multiplicity 8)
Se (0.0000, 0.4566, 0.7500) (multiplicity 4)

Fermi-level density of states   7.16 states/eV per cell
Size of the total moment   1.1254 μB per atom
Energy relative to the elements, uncorrected   -900 meV per atom


No. 3
Material: Li2CaMnZn
Method: DFT, PBE
State: relaxed

Unit cell a=4.8170 b=4.8170 c=5.6191 alpha=90.00 beta=90.00 gamma=90.00
Space group P4/mmm (No. 123)
One atom of each set of equivalent atoms:
Li (0.0000, 0.5000, 0.0000) (multiplicity 2)
Ca (0.0000, 0.0000, 0.5000) (multiplicity 1)
Mn (0.5000, 0.5000, 0.5000) (multiplicity 1)
Zn (0.0000, 0.0000, 0.0000) (multiplicity 1)

Fermi-level density of states   3.13 states/eV per cell
Size of the total moment   0.8153 μB per atom
Formation energy from the elements   2.56 eV per formula unit